Record 1
A relaxed AcLa2GaN4 crystal, computed with PBE.

Output
Its symmetry is Cmcm, No. 63. The raw formation energy is -1.033 eV/atom.

Unit cell a=3.651 b=6.381 c=12.458 alpha=90.00 beta=90.00 gamma=106.62
Sites, in units of the cell vectors:
Ac  0.101  0.202  0.750
Ac  0.899  0.798  0.250
La  0.369  0.738  0.546
La  0.631  0.262  0.046
La  0.631  0.262  0.454
La  0.369  0.738  0.954
Ga  0.828  0.657  0.750
Ga  0.172  0.343  0.250
N  0.270  0.540  0.128
N  0.730  0.460  0.628
N  0.730  0.460  0.872
N  0.270  0.540  0.372
N  0.000  0.000  0.500
N  0.000  0.000  0.000
N  0.430  0.860  0.750
N  0.570  0.140  0.250

Record 2
A relaxed AcLa2GaN crystal, computed with PBE.

Output
Its symmetry is P4/mmm, No. 123. The raw formation energy is -0.757 eV/atom.

Unit cell a=5.084 b=5.084 c=5.274 alpha=90.00 beta=90.00 gamma=90.00
Sites, in units of the cell vectors:
Ac  0.000  0.000  0.500
La  0.000  0.500  0.000
La  0.500  0.000  0.000
Ga  0.500  0.500  0.501
N  0.000  0.000  0.000

Record 3
A relaxed NaAcLaGa crystal, computed with PBE.

Output
Its symmetry is F-43m, No. 216.

Unit cell a=5.602 b=5.602 c=5.602 alpha=60.00 beta=60.00 gamma=60.00
Sites, in units of the cell vectors:
Na  0.750  0.750  0.750
Ac  0.000  0.000  0.000
Ga  0.250  0.250  0.250
La  0.500  0.500  0.500

Record 4
A relaxed AcLaGaNi crystal, computed with PBE.

Output
Its symmetry is F-43m, No. 216.

Unit cell a=5.308 b=5.308 c=5.308 alpha=60.00 beta=60.00 gamma=60.00
Sites, in units of the cell vectors:
Ni  0.250  0.250  0.250
Ac  0.000  0.000  0.000
Ga  0.750  0.750  0.750
La  0.500  0.500  0.500

Record 5
A relaxed AcLaGaNi crystal, computed with PBE.

Output
Its symmetry is Amm2, No. 38.

Unit cell a=4.018 b=4.506 c=6.413 alpha=90.00 beta=108.25 gamma=90.00
Sites, in units of the cell vectors:
Ac  0.749  0.500  0.498
La  0.019  0.000  0.038
Ga  0.456  0.500  0.912
Ni  0.346  0.000  0.691

Record 6
A relaxed AcLaGaOs crystal, computed with PBE.

Output
Its symmetry is F-43m, No. 216.

Unit cell a=5.275 b=5.275 c=5.275 alpha=60.00 beta=60.00 gamma=60.00
Sites, in units of the cell vectors:
Ac  0.500  0.500  0.500
Os  0.250  0.250  0.250
Ga  0.750  0.750  0.750
La  0.000  0.000  0.000

The records above give, respectively, E_tot values of -7.320 -5.820 -3.482 -4.740 -4.854 -5.913 eV/atom.
The records above give, respectively, DOS(E_F) values of 0.6 3.1 4.6 3.6 4.4 2.5 states/eV/cell.